A:
{"formula": "CoSiCl2", "functional": "GGA-PBEsol", "state": "relaxed", "cell": [[1.511, -2.796, 0.000], [1.511, 2.796, 0.000], [0.000, 0.000, 8.192]], "species": ["Co", "Si", "Cl", "Cl"], "fractional_positions": [[0.000, 0.000, 0.000], [0.000, 0.000, 0.500], [0.500, 0.500, 0.208], [0.500, 0.500, 0.792]], "space_group": "Cmmm", "total_magnetization_mub_per_fu": 2.03, "density_g_cm3": 3.79}


B:
{"formula": "CoSiCl2", "functional": "GGA-PBEsol", "state": "relaxed", "cell": [[-1.537, 2.134, 5.332], [1.537, -2.134, 5.332], [1.537, 2.134, -5.332]], "species": ["Co", "Si", "Cl", "Cl"], "fractional_positions": [[0.000, 0.000, 0.000], [0.839, 0.339, 0.500], [0.180, 0.680, 0.500], [0.470, 0.470, 0.000]], "space_group": "Imm2", "total_magnetization_mub_per_fu": 1.54, "density_g_cm3": 3.75}


What should be chosen as the least stable of them? Choose A.


A:
{"formula": "CoSiCl2", "functional": "GGA-PBEsol", "state": "relaxed", "cell": [[0.000, 3.154, 3.154], [3.154, 0.000, 3.154], [3.154, 3.154, 0.000]], "species": ["Co", "Si", "Cl", "Cl"], "fractional_positions": [[0.000, 0.000, 0.000], [0.750, 0.750, 0.750], [0.250, 0.250, 0.250], [0.500, 0.500, 0.500]], "space_group": "F-43m", "total_magnetization_mub_per_fu": 0.99, "density_g_cm3": 4.18}


B:
{"formula": "CoSiCl2", "functional": "GGA-PBEsol", "state": "relaxed", "cell": [[2.944, 0.000, 0.000], [0.000, 2.944, 0.000], [0.000, 0.000, 8.325]], "species": ["Co", "Si", "Cl", "Cl"], "fractional_positions": [[0.000, 0.000, 0.000], [0.500, 0.500, 0.870], [0.000, 0.000, 0.255], [0.500, 0.500, 0.627]], "space_group": "P4mm", "total_magnetization_mub_per_fu": 0.98, "density_g_cm3": 3.64}


C:
{"formula": "CoSiCl2", "functional": "GGA-PBEsol", "state": "relaxed", "cell": [[-1.778, 1.778, 5.360], [1.778, -1.778, 5.360], [1.778, 1.778, -5.360]], "species": ["Co", "Si", "Cl", "Cl"], "fractional_positions": [[0.000, 0.000, 0.000], [0.750, 0.250, 0.500], [0.250, 0.750, 0.500], [0.500, 0.500, 0.000]], "space_group": "I-4m2", "total_magnetization_mub_per_fu": 1.15, "density_g_cm3": 3.87}


What should be chosen as the least stable of them? Choose A.


A:
{"formula": "Sr2CoCl", "functional": "GGA-PBEsol", "state": "relaxed", "cell": [[4.260, 0.000, 0.000], [0.000, 4.260, 0.000], [0.000, 0.000, 5.862]], "species": ["Sr", "Sr", "Co", "Cl"], "fractional_positions": [[0.000, 0.000, 0.000], [0.500, 0.500, 0.500], [0.000, 0.000, 0.500], [0.500, 0.500, 0.000]], "space_group": "P4/mmm", "total_magnetization_mub_per_fu": 0.39, "density_g_cm3": 4.21}


B:
{"formula": "Sr2CoCl", "functional": "GGA-PBEsol", "state": "relaxed", "cell": [[-1.830, 1.877, 7.799], [1.830, -1.877, 7.799], [1.830, 1.877, -7.799]], "species": ["Sr", "Sr", "Co", "Cl"], "fractional_positions": [[0.000, 0.000, 0.000], [0.775, 0.275, 0.500], [0.411, 0.411, 0.000], [0.167, 0.667, 0.500]], "space_group": "Imm2", "total_magnetization_mub_per_fu": 0.36, "density_g_cm3": 4.18}


What should be chosen as the least stable of them? Choose B.


A:
{"formula": "Ta2CoCl", "functional": "GGA-PBEsol", "state": "relaxed", "cell": [[0.000, 3.143, 3.143], [3.143, 0.000, 3.143], [3.143, 3.143, 0.000]], "species": ["Ta", "Ta", "Co", "Cl"], "fractional_positions": [[0.000, 0.000, 0.000], [0.250, 0.250, 0.250], [0.500, 0.500, 0.500], [0.750, 0.750, 0.750]], "space_group": "F-43m", "total_magnetization_mub_per_fu": 0.00, "density_g_cm3": 12.20}


B:
{"formula": "Ta2CoCl", "functional": "GGA-PBEsol", "state": "relaxed", "cell": [[-2.157, 2.159, 3.120], [2.157, -2.159, 3.120], [2.157, 2.159, -3.120]], "species": ["Ta", "Ta", "Co", "Cl"], "fractional_positions": [[0.249, 0.249, 0.000], [0.751, 0.751, 0.000], [0.500, 0.000, 0.500], [0.000, 0.500, 0.500]], "space_group": "Immm", "total_magnetization_mub_per_fu": 0.00, "density_g_cm3": 13.03}


What should be chosen as the least stable of them? Choose A.


A:
{"formula": "Ta2CoCl", "functional": "GGA-PBEsol", "state": "relaxed", "cell": [[-2.256, 2.256, 2.859], [2.256, -2.256, 2.859], [2.256, 2.256, -2.859]], "species": ["Ta", "Ta", "Co", "Cl"], "fractional_positions": [[0.250, 0.750, 0.500], [0.750, 0.250, 0.500], [0.000, 0.000, 0.000], [0.500, 0.500, 0.000]], "space_group": "I4/mmm", "total_magnetization_mub_per_fu": 0.00, "density_g_cm3": 13.02}


B:
{"formula": "Ta2CoCl", "functional": "GGA-PBEsol", "state": "relaxed", "cell": [[2.924, 0.000, 0.000], [0.000, 2.955, 0.000], [0.000, 0.000, 7.294]], "species": ["Ta", "Ta", "Co", "Cl"], "fractional_positions": [[0.000, 0.000, 0.211], [0.000, 0.000, 0.789], [0.500, 0.500, 0.000], [0.000, 0.500, 0.500]], "space_group": "Pmmm", "total_magnetization_mub_per_fu": 0.00, "density_g_cm3": 12.02}


C:
{"formula": "Ta2CoCl", "functional": "GGA-PBEsol", "state": "relaxed", "cell": [[1.642, -2.357, 0.000], [1.642, 2.357, 0.000], [0.000, 0.000, 8.248]], "species": ["Ta", "Ta", "Co", "Cl"], "fractional_positions": [[0.000, 0.000, 0.000], [0.500, 0.500, 0.282], [0.500, 0.500, 0.784], [0.000, 0.000, 0.519]], "space_group": "Cmm2", "total_magnetization_mub_per_fu": 0.85, "density_g_cm3": 11.87}


What should be chosen as the least stable of them? Choose A.


A:
{"formula": "TaCo2Cl", "functional": "GGA-PBEsol", "state": "relaxed", "cell": [[2.381, -4.020, 0.000], [2.381, 4.020, 0.000], [0.000, 0.000, 2.863]], "species": ["Ta", "Co", "Co", "Cl"], "fractional_positions": [[0.000, 0.000, 0.000], [0.000, 0.500, 0.500], [0.500, 0.000, 0.500], [0.500, 0.500, 0.000]], "space_group": "Cmmm", "total_magnetization_mub_per_fu": 2.82, "density_g_cm3": 10.13}


B:
{"formula": "TaCo2Cl", "functional": "GGA-PBEsol", "state": "relaxed", "cell": [[4.332, 0.000, 0.000], [0.000, 4.332, 0.000], [0.000, 0.000, 2.860]], "species": ["Ta", "Co", "Co", "Cl"], "fractional_positions": [[0.000, 0.000, 0.000], [0.000, 0.500, 0.500], [0.500, 0.000, 0.500], [0.500, 0.500, 0.000]], "space_group": "P4/mmm", "total_magnetization_mub_per_fu": 0.00, "density_g_cm3": 10.34}


What should be chosen as the least stable of them? Choose B.


A:
{"formula": "TaCoCl2", "functional": "GGA-PBEsol", "state": "relaxed", "cell": [[0.000, 2.999, 2.999], [2.999, 0.000, 2.999], [2.999, 2.999, 0.000]], "species": ["Ta", "Co", "Cl", "Cl"], "fractional_positions": [[0.000, 0.000, 0.000], [0.500, 0.500, 0.500], [0.250, 0.250, 0.250], [0.750, 0.750, 0.750]], "space_group": "Fm-3m", "total_magnetization_mub_per_fu": 0.69, "density_g_cm3": 9.57}


B:
{"formula": "TaCoCl2", "functional": "GGA-PBEsol", "state": "relaxed", "cell": [[4.267, 0.000, 0.000], [0.000, 4.267, 0.000], [0.000, 0.000, 3.043]], "species": ["Ta", "Co", "Cl", "Cl"], "fractional_positions": [[0.000, 0.000, 0.000], [0.500, 0.500, 0.000], [0.000, 0.500, 0.500], [0.500, 0.000, 0.500]], "space_group": "P4/mmm", "total_magnetization_mub_per_fu": 0.88, "density_g_cm3": 9.32}


What should be chosen as the least stable of them? Choose B.